# 1
Compound: Ac3InSi2Pt9
Source: the Alexandria database
Functional: PBE
Structure: relaxed

Computed properties:
Its crystal system is trigonal. The space group is P-3m1. Its uncorrected formation energy is -0.787 eV per atom.

extended XYZ file:
```
15
Lattice="-5.3723 -3.3799 -1.0550 3.7276 -1.3801 5.0595 -5.0078 6.2740 5.4009" Properties=species:S:1:pos:R:3 pbc="T T T"
Pt -5.5791 0.6841 6.5987
Pt -1.0733 0.8299 2.8067
Pt -1.9986 -1.8479 5.0595
Pt -0.8223 -2.3800 2.0022
Pt -2.6861 -1.6899 -0.5275
Pt -7.6762 1.4605 3.7523
Pt 1.0237 0.0535 5.6531
Pt -4.6539 3.3619 4.3458
Pt 1.8638 -0.6901 2.5297
In -2.5039 3.1370 2.7005
Ac -2.8594 2.4055 6.8540
Ac -3.7931 -0.8915 2.5514
Ac 0.0000 0.0000 0.0000
Si -0.1685 -0.9658 3.9518
Si -6.4840 2.4798 5.4536
```



# 2
Compound: Sr7Li
Source: the Alexandria database
Functional: PBE
Structure: relaxed

Computed properties:
Its crystal system is cubic. The formation enthalpy at 0 K comes out at 0.050 eV per atom. The space group is Fm-3m. As for the energy above the most stable polymorph in this dataset: 10 meV/atom.

extended XYZ file:
```
8
Lattice="-4.8691 -6.6172 1.4945 2.2952 -5.6749 5.6795 -4.1437 -0.5878 7.2259" Properties=species:S:1:pos:R:3 pbc="T T T"
Sr -4.5064 -3.6025 4.3602
Sr -3.3588 -6.4400 7.1999
Sr 1.1476 -2.8375 2.8397
Sr -2.4346 -3.3086 0.7472
Sr -1.2870 -6.1461 3.5870
Sr -0.9242 -3.1314 6.4527
Sr -2.0718 -0.2939 3.6130
Li 0.0000 0.0000 0.0000
```



| no. | DOS(E_F) (states/eV per cell) |
| --- | --- |
| 1 | 5.93 |
| 2 | 7.54 |